1.
Entry from Alexandria via LeMat-Bulk: Ac4CuRu3 after structural relaxation (PBE). Values from VASP.

Structure (Quantum ESPRESSO input):
```
&SYSTEM
  ibrav = 0, nat = 8, ntyp = 3
/
ATOMIC_SPECIES
Ac 227.00 Ac.upf
Ru 101.07 Ru.upf
Cu 63.55 Cu.upf
ATOMIC_POSITIONS angstrom
Ac 2.230 0.549 4.601
Ac 5.120 3.225 4.652
Ac 1.269 0.410 0.641
Ac 8.165 0.894 5.537
Ru 5.161 -0.076 4.018
Ru 7.894 4.122 6.054
Ru 4.412 1.425 2.230
Cu -0.680 -0.391 3.131
CELL_PARAMETERS angstrom
-2.281 2.407 2.976
-0.220 -3.558 2.709
9.643 3.115 4.874
```

Values from the calculation:
- Space group: Pmm2
- Calculated density: 9.4 g/cm3
- ΔH_f (0 K): -0.09 eV per atom

=====

2.
Entry from Alexandria via LeMat-Bulk: Ac6CuRu2 after structural relaxation (PBE). Values from VASP.

Structure (Quantum ESPRESSO input):
```
&SYSTEM
  ibrav = 0, nat = 9, ntyp = 3
/
ATOMIC_SPECIES
Ru 101.07 Ru.upf
Ac 227.00 Ac.upf
Cu 63.55 Cu.upf
ATOMIC_POSITIONS angstrom
Ru 0.000 4.927 1.804
Ru 2.152 0.533 8.183
Ac 0.000 -1.414 7.980
Ac 2.152 6.875 2.007
Ac 2.152 2.899 1.372
Ac 0.000 2.562 8.615
Ac 0.000 4.567 4.592
Ac 2.152 0.894 5.395
Cu 0.000 -1.254 4.933
CELL_PARAMETERS angstrom
4.303 0.000 0.000
-2.152 7.969 0.121
0.000 -2.508 9.866
```

Values from the calculation:
- Space group: C2/m
- Calculated density: 8.0 g/cm3
- Polymorph energy (0 for the lowest one): 0.013 eV/atom
- ΔH_f (0 K): -0.13 eV per atom

=====

3.
Entry from Alexandria via LeMat-Bulk: AcCuSbRu after structural relaxation (PBE). Values from VASP.

Structure (Quantum ESPRESSO input):
```
&SYSTEM
  ibrav = 0, nat = 4, ntyp = 4
/
ATOMIC_SPECIES
Ru 101.07 Ru.upf
Cu 63.55 Cu.upf
Ac 227.00 Ac.upf
Sb 121.76 Sb.upf
ATOMIC_POSITIONS angstrom
Ru 3.580 -4.851 6.820
Cu 1.193 -1.617 2.273
Ac 2.387 -3.234 4.547
Sb 0.000 0.000 0.000
CELL_PARAMETERS angstrom
-1.036 -2.918 3.868
3.013 -3.765 1.140
2.797 0.215 4.084
```

Values from the calculation:
- Space group: F-43m
- Calculated density: 9.9 g/cm3
- Formation energy without anion corrections: -0.01 eV per atom